First-principles (GGA-PBE) data for a relaxed Dy2CdO4 crystal, as listed in OQMD.

a = 6.7367 Å, b = 6.7367 Å, c = 6.7367 Å
α = 119.99°, β = 90.01°, γ = 119.99°
Atoms (fractional coordinates):
Cd 0.7500 0.5000 0.2500
Cd 0.0000 0.0000 0.0000
O 0.5890 0.7260 0.8630
O 0.6129 0.2260 0.3870
O 0.1371 0.2740 0.8630
O 0.1370 0.7260 0.8629
O 0.1610 0.7740 0.3870
O 0.6130 0.7740 0.3871
O 0.1370 0.2740 0.4110
O 0.6130 0.2260 0.8390
Dy 0.3750 0.2500 0.6250
Dy 0.3750 0.7500 0.6250
Dy 0.3750 0.7500 0.1250
Dy 0.8750 0.2500 0.6250

## Properties
- mass density (g/cm3) = 7.70
- symmetry = Fd-3m (227)
- VASP energy (eV/atom) = -7.0703